1.
CaPaAl: optimized geometry, PBE-GGA.

a = 3.281 Å, b = 3.281 Å, c = 16.651 Å
α = 90.00°, β = 90.00°, γ = 120.01°
Positions (direct):
1 Ca 0.612 0.225 0.657
2 Ca 0.612 0.225 0.343
3 Pa 0.277 0.553 0.850
4 Pa 0.277 0.553 0.150
5 Al 0.279 0.558 0.500
6 Al 0.610 0.220 0.000

Calculated values
E_form	19	kJ/mol of atoms
total DFT energy (no corrections)	-4.89	eV/atom
space-group type	Amm2, No. 38

***

2.
Ca2PaAl9: optimized geometry, PBE-GGA.

a = 5.548 Å, b = 5.548 Å, c = 9.470 Å
α = 72.97°, β = 72.97°, γ = 60.00°
Positions (direct):
1 Al 0.665 0.665 0.004
2 Al 0.417 0.417 0.242
3 Al 0.417 0.924 0.242
4 Al 0.500 0.500 0.500
5 Al 0.924 0.417 0.242
6 Al 0.583 0.076 0.758
7 Al 0.583 0.583 0.758
8 Al 0.076 0.583 0.758
9 Al 0.335 0.335 0.996
10 Ca 0.859 0.859 0.422
11 Ca 0.141 0.141 0.578
12 Pa 0.000 0.000 0.000

Calculated values
E_form	-22	kJ/mol of atoms
total DFT energy (no corrections)	-4.16	eV/atom
space-group type	R-3m, No. 166

***

3.
CaPaAl2: optimized geometry, PBE-GGA.

a = 3.122 Å, b = 5.478 Å, c = 5.478 Å
α = 90.00°, β = 90.00°, γ = 90.00°
Positions (direct):
1 Pa 0.500 0.500 0.500
2 Ca 0.500 0.000 0.000
3 Al 0.000 0.500 0.000
4 Al 0.000 0.000 0.500

Calculated values
E_form	-7	kJ/mol of atoms
energy relative to the lowest polymorph listed for this composition	75	meV/atom
total DFT energy (no corrections)	-4.82	eV/atom
space-group type	P4/mmm, No. 123

***

4.
CaPaAl2: optimized geometry, PBE-GGA.

a = 3.233 Å, b = 3.233 Å, c = 8.830 Å
α = 90.00°, β = 90.00°, γ = 90.00°
Positions (direct):
1 Pa 0.500 0.500 0.000
2 Ca 0.500 0.500 0.500
3 Al 0.000 0.000 0.242
4 Al 0.000 0.000 0.758

Calculated values
E_form	-15	kJ/mol of atoms
energy relative to the lowest polymorph listed for this composition	0	meV/atom
total DFT energy (no corrections)	-4.90	eV/atom
space-group type	P4/mmm, No. 123

***

5.
CaPa2Al9: optimized geometry, PBE-GGA.

a = 4.300 Å, b = 4.300 Å, c = 12.927 Å
α = 90.00°, β = 90.00°, γ = 90.00°
Positions (direct):
1 Al 0.500 0.000 0.500
2 Al 0.500 0.500 0.666
3 Al 0.000 0.500 0.166
4 Al 0.500 0.000 0.166
5 Al 0.500 0.500 0.334
6 Al 0.500 0.000 0.834
7 Al 0.000 0.500 0.500
8 Al 0.500 0.500 0.000
9 Al 0.000 0.500 0.834
10 Pa 0.000 0.000 0.667
11 Pa 0.000 0.000 0.333
12 Ca 0.000 0.000 0.000

Calculated values
E_form	-21	kJ/mol of atoms
total DFT energy (no corrections)	-4.77	eV/atom
space-group type	P4/mmm, No. 123

***

6.
Ca2PaAlS6: optimized geometry, PBE-GGA.

a = 5.474 Å, b = 6.826 Å, c = 6.826 Å
α = 90.00°, β = 90.00°, γ = 90.00°
Positions (direct):
1 Al 0.584 0.000 0.000
2 S 0.171 0.500 0.500
3 S 0.711 0.764 0.764
4 S 0.711 0.236 0.236
5 S 0.185 0.000 0.000
6 S 0.711 0.764 0.236
7 S 0.711 0.236 0.764
8 Ca 0.005 0.500 0.000
9 Ca 0.005 0.000 0.500
10 Pa 0.653 0.500 0.500

Calculated values
formation energy from raw total energies	-1447	meV/atom
total DFT energy (no corrections)	-5.65	eV/atom
space-group type	P4mm, No. 99

***

7.
Ca2AlPb: optimized geometry, PBE-GGA.

a = 5.755 Å, b = 5.755 Å, c = 5.755 Å
α = 130.04°, β = 130.00°, γ = 73.37°
Positions (direct):
1 Al 0.250 0.750 0.500
2 Ca 0.500 0.500 0.000
3 Ca 0.000 0.000 0.000
4 Pb 0.750 0.250 0.500

Calculated values
E_form	-31	kJ/mol of atoms
energy relative to the lowest polymorph listed for this composition	23	meV/atom
total DFT energy (no corrections)	-3.19	eV/atom
space-group type	I4/mmm, No. 139

***

8.
CaAlPb: optimized geometry, PBE-GGA.

a = 5.089 Å, b = 5.089 Å, c = 5.089 Å
α = 60.00°, β = 60.00°, γ = 60.00°
Positions (direct):
1 Al 0.500 0.500 0.500
2 Ca 0.750 0.750 0.750
3 Pb 0.000 0.000 0.000

Calculated values
E_form	17	kJ/mol of atoms
total DFT energy (no corrections)	-2.98	eV/atom
space-group type	F-43m, No. 216

***

9.
Ca3AlPb2: optimized geometry, PBE-GGA.

a = 4.582 Å, b = 12.714 Å, c = 12.729 Å
α = 90.00°, β = 90.00°, γ = 90.00°
Positions (direct):
1 Ca 0.750 0.209 0.287
2 Ca 0.250 0.118 0.559
3 Ca 0.750 0.618 0.941
4 Ca 0.750 0.882 0.441
5 Ca 0.750 0.291 0.787
6 Ca 0.250 0.382 0.059
7 Ca 0.750 0.554 0.625
8 Ca 0.250 0.054 0.875
9 Ca 0.250 0.709 0.213
10 Ca 0.250 0.446 0.375
11 Ca 0.250 0.791 0.713
12 Ca 0.750 0.946 0.125
13 Pb 0.250 0.496 0.807
14 Pb 0.750 0.996 0.693
15 Pb 0.250 0.686 0.485
16 Pb 0.750 0.314 0.515
17 Pb 0.250 0.004 0.307
18 Pb 0.750 0.186 0.015
19 Pb 0.750 0.504 0.193
20 Pb 0.250 0.814 0.985
21 Al 0.250 0.356 0.637
22 Al 0.250 0.144 0.137
23 Al 0.750 0.856 0.863
24 Al 0.750 0.644 0.363

Calculated values
E_form	-39	kJ/mol of atoms
total DFT energy (no corrections)	-3.27	eV/atom
space-group type	Pnma, No. 62

***

10.
Ca2AlPb: optimized geometry, PBE-GGA.

a = 10.305 Å, b = 10.305 Å, c = 10.305 Å
α = 20.83°, β = 20.83°, γ = 20.83°
Positions (direct):
1 Ca 0.005 0.005 0.005
2 Ca 0.495 0.495 0.495
3 Al 0.750 0.750 0.750
4 Pb 0.250 0.250 0.250

Calculated values
E_form	-18	kJ/mol of atoms
energy relative to the lowest polymorph listed for this composition	166	meV/atom
total DFT energy (no corrections)	-3.05	eV/atom
space-group type	R-3m, No. 166

***

11.
CaAl3Pb: optimized geometry, PBE-GGA.

a = 5.454 Å, b = 5.454 Å, c = 5.454 Å
α = 90.00°, β = 90.00°, γ = 90.00°
Positions (direct):
1 Al 0.000 0.000 0.500
2 Al 0.000 0.500 0.000
3 Al 0.500 0.000 0.000
4 Pb 0.000 0.000 0.000
5 Ca 0.500 0.500 0.500

Calculated values
E_form	64	kJ/mol of atoms
energy relative to the lowest polymorph listed for this composition	0	meV/atom
total DFT energy (no corrections)	-2.72	eV/atom
space-group type	Pm-3m, No. 221

***

12.
CaAl2Pb: optimized geometry, PBE-GGA.

a = 3.846 Å, b = 3.846 Å, c = 6.886 Å
α = 90.00°, β = 90.00°, γ = 89.98°
Positions (direct):
1 Ca 0.500 0.500 0.250
2 Al 0.000 0.000 0.541
3 Al 0.000 0.000 0.959
4 Pb 0.500 0.500 0.750

Calculated values
E_form	0	kJ/mol of atoms
total DFT energy (no corrections)	-3.30	eV/atom
space-group type	P4/mmm, No. 123

***

13.
CaAl2Pb: optimized geometry, PBE-GGA.

a = 4.501 Å, b = 4.501 Å, c = 4.655 Å
α = 90.00°, β = 90.00°, γ = 90.00°
Positions (direct):
1 Ca 0.500 0.000 0.500
2 Al 0.000 0.000 0.000
3 Al 0.500 0.500 0.000
4 Pb 0.000 0.500 0.500

Calculated values
E_form	-11	kJ/mol of atoms
total DFT energy (no corrections)	-3.42	eV/atom
space-group type	P4/mmm, No. 123

***

14.
Ca2AlPb: optimized geometry, PBE-GGA.

a = 8.486 Å, b = 8.486 Å, c = 6.923 Å
α = 52.20°, β = 52.20°, γ = 90.00°
Positions (direct):
1 Ca 0.875 0.866 0.750
2 Ca 0.616 0.125 0.250
3 Ca 0.134 0.625 0.250
4 Ca 0.375 0.384 0.750
5 Al 0.500 0.500 0.000
6 Al 0.250 0.750 0.500
7 Pb 0.750 0.250 0.500
8 Pb 0.000 0.000 0.000

Calculated values
E_form	1	kJ/mol of atoms
energy relative to the lowest polymorph listed for this composition	358	meV/atom
total DFT energy (no corrections)	-2.85	eV/atom
space-group type	I-42d, No. 122

***

15.
CaAl2Pb2: optimized geometry, PBE-GGA.

a = 4.182 Å, b = 4.182 Å, c = 8.300 Å
α = 75.41°, β = 75.41°, γ = 90.00°
Positions (direct):
1 Ca 0.000 0.000 0.000
2 Pb 0.615 0.615 0.770
3 Pb 0.385 0.385 0.230
4 Al 0.250 0.750 0.500
5 Al 0.750 0.250 0.500

Calculated values
E_form	-2	kJ/mol of atoms
energy relative to the lowest polymorph listed for this composition	12	meV/atom
total DFT energy (no corrections)	-3.40	eV/atom
space-group type	I4/mmm, No. 139

***

16.
CaAl2Pb: optimized geometry, PBE-GGA.

a = 5.787 Å, b = 5.787 Å, c = 5.787 Å
α = 134.87°, β = 134.86°, γ = 65.74°
Positions (direct):
1 Al 0.500 0.500 0.000
2 Al 0.000 0.000 0.000
3 Pb 0.250 0.750 0.500
4 Ca 0.750 0.250 0.500

Calculated values
E_form	-6	kJ/mol of atoms
total DFT energy (no corrections)	-3.36	eV/atom
space-group type	I4/mmm, No. 139

***

17.
Ca2AlPb: optimized geometry, PBE-GGA.

a = 3.430 Å, b = 4.533 Å, c = 7.072 Å
α = 90.00°, β = 90.00°, γ = 90.00°
Positions (direct):
1 Al 0.500 0.500 0.750
2 Pb 0.500 0.500 0.250
3 Ca 0.000 0.000 0.992
4 Ca 0.000 0.000 0.508

Calculated values
E_form	-31	kJ/mol of atoms
energy relative to the lowest polymorph listed for this composition	25	meV/atom
total DFT energy (no corrections)	-3.19	eV/atom
space-group type	Pmmm, No. 47

***

18.
CaAl2Pb: optimized geometry, PBE-GGA.

a = 8.358 Å, b = 8.358 Å, c = 6.658 Å
α = 51.12°, β = 51.12°, γ = 90.00°
Positions (direct):
1 Al 0.375 0.338 0.750
2 Al 0.662 0.125 0.250
3 Al 0.875 0.912 0.750
4 Al 0.088 0.625 0.250
5 Ca 0.250 0.750 0.500
6 Ca 0.500 0.500 0.000
7 Pb 0.750 0.250 0.500
8 Pb 0.000 0.000 0.000

Calculated values
E_form	9	kJ/mol of atoms
total DFT energy (no corrections)	-3.20	eV/atom
space-group type	I-42d, No. 122

***

19.
CaAl2Pb: optimized geometry, PBE-GGA.

a = 3.681 Å, b = 3.681 Å, c = 7.204 Å
α = 90.00°, β = 90.00°, γ = 90.00°
Positions (direct):
1 Pb 0.500 0.500 0.789
2 Al 0.000 0.000 0.035
3 Al 0.500 0.500 0.200
4 Ca 0.000 0.000 0.476

Calculated values
E_form	-10	kJ/mol of atoms
total DFT energy (no corrections)	-3.40	eV/atom
space-group type	P4mm, No. 99

***

20.
CaAl2Pb: optimized geometry, PBE-GGA.

a = 5.185 Å, b = 5.185 Å, c = 5.185 Å
α = 60.00°, β = 60.00°, γ = 60.00°
Positions (direct):
1 Al 0.250 0.250 0.250
2 Al 0.000 0.000 0.000
3 Pb 0.750 0.750 0.750
4 Ca 0.500 0.500 0.500

Calculated values
E_form	4	kJ/mol of atoms
total DFT energy (no corrections)	-3.26	eV/atom
space-group type	F-43m, No. 216

***

21.
CaAl2Pb: optimized geometry, PBE-GGA.

a = 5.547 Å, b = 5.547 Å, c = 3.450 Å
α = 90.03°, β = 90.03°, γ = 111.74°
Positions (direct):
1 Al 0.000 0.000 0.000
2 Al 0.500 0.500 0.000
3 Pb 0.000 0.500 0.500
4 Ca 0.500 0.000 0.500

Calculated values
E_form	-1	kJ/mol of atoms
total DFT energy (no corrections)	-3.30	eV/atom
space-group type	Cmmm, No. 65

***

22.
Ca2AlPb: optimized geometry, PBE-GGA.

a = 6.517 Å, b = 6.517 Å, c = 6.517 Å
α = 144.87°, β = 132.99°, γ = 60.02°
Positions (direct):
1 Al 0.272 0.772 0.500
2 Ca 0.741 0.241 0.500
3 Ca 0.020 0.020 0.000
4 Pb 0.467 0.467 0.000

Calculated values
E_form	-25	kJ/mol of atoms
energy relative to the lowest polymorph listed for this composition	90	meV/atom
total DFT energy (no corrections)	-3.12	eV/atom
space-group type	Imm2, No. 44

***

23.
CaAl2Pb2: optimized geometry, PBE-GGA.

a = 8.464 Å, b = 8.464 Å, c = 3.725 Å
α = 90.00°, β = 90.00°, γ = 90.00°
Positions (direct):
1 Pb 0.355 0.855 0.000
2 Pb 0.855 0.645 0.000
3 Pb 0.145 0.355 0.000
4 Pb 0.645 0.145 0.000
5 Al 0.352 0.148 0.500
6 Al 0.648 0.852 0.500
7 Al 0.852 0.352 0.500
8 Al 0.148 0.648 0.500
9 Ca 0.000 0.000 0.000
10 Ca 0.500 0.500 0.000

Calculated values
E_form	6	kJ/mol of atoms
energy relative to the lowest polymorph listed for this composition	96	meV/atom
total DFT energy (no corrections)	-3.31	eV/atom
space-group type	P4/mbm, No. 127

***

24.
CaAlPb: optimized geometry, PBE-GGA.

a = 6.296 Å, b = 6.296 Å, c = 3.777 Å
α = 72.54°, β = 72.55°, γ = 34.91°
Positions (direct):
1 Pb 0.643 0.643 0.357
2 Al 0.018 0.018 0.982
3 Ca 0.339 0.339 0.661

Calculated values
E_form	-14	kJ/mol of atoms
total DFT energy (no corrections)	-3.30	eV/atom
space-group type	I4mm, No. 107

***

25.
Ca2AlPb: optimized geometry, PBE-GGA.

a = 5.500 Å, b = 5.500 Å, c = 5.500 Å
α = 60.00°, β = 60.00°, γ = 60.00°
Positions (direct):
1 Ca 0.250 0.250 0.250
2 Ca 0.000 0.000 0.000
3 Al 0.500 0.500 0.500
4 Pb 0.750 0.750 0.750

Calculated values
E_form	-4	kJ/mol of atoms
energy relative to the lowest polymorph listed for this composition	304	meV/atom
total DFT energy (no corrections)	-2.91	eV/atom
space-group type	F-43m, No. 216

***

26.
Ca2AlPb: optimized geometry, PBE-GGA.

a = 3.894 Å, b = 4.462 Å, c = 6.948 Å
α = 90.00°, β = 90.00°, γ = 90.00°
Positions (direct):
1 Ca 0.500 0.500 0.281
2 Ca 0.000 0.000 0.962
3 Pb 0.000 0.000 0.513
4 Al 0.500 0.500 0.744

Calculated values
E_form	-8	kJ/mol of atoms
energy relative to the lowest polymorph listed for this composition	261	meV/atom
total DFT energy (no corrections)	-2.95	eV/atom
space-group type	Pmm2, No. 25

***

27.
CaAl2Pb2: optimized geometry, PBE-GGA.

a = 8.246 Å, b = 8.246 Å, c = 3.846 Å
α = 90.00°, β = 90.00°, γ = 90.00°
Positions (direct):
1 Al 0.616 0.116 0.000
2 Al 0.384 0.884 0.000
3 Al 0.884 0.616 0.000
4 Al 0.116 0.384 0.000
5 Ca 0.000 0.000 0.000
6 Ca 0.500 0.500 0.000
7 Pb 0.677 0.823 0.500
8 Pb 0.177 0.677 0.500
9 Pb 0.323 0.177 0.500
10 Pb 0.823 0.323 0.500

Calculated values
E_form	-2	kJ/mol of atoms
energy relative to the lowest polymorph listed for this composition	4	meV/atom
total DFT energy (no corrections)	-3.40	eV/atom
space-group type	P4/mbm, No. 127